This record from Alexandria describes crystalline CuI3Br at its relaxed geometry. The functional is PBE.

Computed properties:
The uncorrected formation energy comes out at 0.73 eV per atom. The value obtained for the energy above the lowest structure with this stoichiometry is 0.688 eV per atom. For the density of states at the Fermi level, the calculation gives 1.928 states/eV/cell. As for the total energy: -1.35 eV per atom. Its space group is Pm-3m (221).

```
CuI3Br
1.0
5.905 0.000 0.000
0.000 5.905 0.000
0.000 0.000 5.905
Cu I Br
1 3 1
Cartesian
0.000 0.000 0.000
0.000 2.953 2.953
2.953 0.000 2.953
2.953 2.953 0.000
2.953 2.953 2.953
```